[1]
Computed, not measured: an optimized crystal structure of SrTlCl at the GGA-PBE level of DFT.

Cell and atoms, written as POSCAR:
```
SrTlCl
1.0
-0.292 -0.193 4.060
1.772 -3.035 -2.061
7.313 3.791 0.706
Cl Sr Tl
1 1 1
direct
0.000 0.000 0.086
0.667 0.333 0.289
0.333 0.667 0.625
```

spin magnetization = 0.00 Bohr magnetons per cell
Fermi-level density of states = 0.68 states/eV per atom
energy relative to the elements, uncorrected = -2.98 eV per formula unit
energy above the most stable polymorph in this dataset = 0.307 eV per atom
symmetry = P3m1


[2]
Computed, not measured: an optimized crystal structure of CoW2 at the GGA-PBE level of DFT.

Cell and atoms, written as POSCAR:
```
CoW2
1.0
3.787 0.000 0.000
0.000 3.787 0.000
-1.894 -1.894 12.003
Co W
4 8
direct
0.088 0.088 0.176
0.912 0.912 0.824
0.338 0.838 0.676
0.162 0.662 0.324
0.252 0.252 0.504
0.748 0.748 0.496
0.502 0.002 0.004
0.998 0.498 0.996
0.413 0.413 0.827
0.587 0.587 0.173
0.663 0.163 0.327
0.837 0.337 0.673
```

spin magnetization = 0.00 Bohr magnetons per cell
Fermi-level density of states = 0.64 states/eV per atom
energy above the most stable polymorph in this dataset = 0.173 eV per atom
ΔE_f = 17 kJ/mol of atoms
symmetry = I4_1/amd


[3]
Computed, not measured: an optimized crystal structure of MgTlO3 at the GGA-PBE level of DFT.

Cell and atoms, written as POSCAR:
```
MgTlO3
1.0
3.905 0.000 0.000
0.000 3.905 0.000
0.000 0.000 3.905
Tl Mg O
1 1 3
direct
0.500 0.500 0.500
0.000 0.000 0.000
0.000 0.500 0.000
0.000 0.000 0.500
0.500 0.000 0.000
```

spin magnetization = 1.33 Bohr magnetons per cell
Fermi-level density of states = 1.14 states/eV per atom
energy relative to the elements, uncorrected = -3.87 eV per formula unit
symmetry = Pm-3m


[4]
Computed, not measured: an optimized crystal structure of Rb2Bi at the GGA-PBE level of DFT.

Cell and atoms, written as POSCAR:
```
Rb2Bi
1.0
4.849 0.000 0.000
0.000 4.849 0.000
-2.425 -2.425 6.079
Bi Rb
1 2
direct
0.000 0.000 0.000
0.653 0.653 0.306
0.347 0.347 0.694
```

spin magnetization = 0.10 Bohr magnetons per cell
Fermi-level density of states = 0.88 states/eV per atom
energy above the most stable polymorph in this dataset = 0.000 eV per atom
ΔE_f = -21 kJ/mol of atoms
symmetry = I4/mmm


[5]
Computed, not measured: an optimized crystal structure of CaNdInGe at the GGA-PBE level of DFT.

Cell and atoms, written as POSCAR:
```
CaNdInGe
1.0
5.337 0.000 0.000
2.669 4.622 0.000
2.669 1.541 4.358
Ge Nd Ca In
1 1 1 1
direct
0.250 0.250 0.250
0.000 0.000 0.000
0.500 0.500 0.500
0.750 0.750 0.750
```

spin magnetization = 0.00 Bohr magnetons per cell
Fermi-level density of states = 0.57 states/eV per atom
ΔE_f = -45 kJ/mol of atoms
symmetry = F-43m


[6]
Computed, not measured: an optimized crystal structure of Sm7YTl4 at the GGA-PBE level of DFT.

Cell and atoms, written as POSCAR:
```
Sm7YTl4
1.0
5.836 0.000 0.000
2.918 8.895 0.712
2.918 0.893 7.392
Sm Y Tl
7 1 4
direct
0.794 0.882 0.531
0.206 0.118 0.469
0.062 0.604 0.272
0.938 0.396 0.728
0.271 0.669 0.789
0.500 0.000 0.000
0.729 0.331 0.211
0.000 0.000 0.000
0.557 0.258 0.628
0.443 0.742 0.372
0.686 0.666 0.963
0.314 0.334 0.037
```

spin magnetization = 0.00 Bohr magnetons per cell
Fermi-level density of states = 1.12 states/eV per atom
ΔE_f = -5 kJ/mol of atoms
symmetry = C2/m


[7]
Computed, not measured: an optimized crystal structure of TbPrInCu at the GGA-PBE level of DFT.

Cell and atoms, written as POSCAR:
```
TbPrInCu
1.0
-2.256 -2.689 3.946
2.787 -3.605 2.670
1.435 0.940 4.995
Pr Tb Cu In
1 1 1 1
direct
0.000 0.000 0.000
0.500 0.500 0.500
0.250 0.250 0.250
0.750 0.750 0.750
```

spin magnetization = 0.00 Bohr magnetons per cell
Fermi-level density of states = 1.05 states/eV per atom
ΔE_f = -26 kJ/mol of atoms
symmetry = F-43m


[8]
Computed, not measured: an optimized crystal structure of AcLa3Nd7 at the GGA-PBE level of DFT.

Cell and atoms, written as POSCAR:
```
AcLa3Nd7
1.0
-0.513 -2.069 6.352
-6.975 -3.603 -1.176
2.636 -7.313 -1.609
Ac La Nd
1 3 7
direct
0.500 0.500 0.500
0.000 0.824 0.176
0.500 0.000 0.000
0.000 0.176 0.824
0.798 0.233 0.233
0.740 0.922 0.572
0.260 0.428 0.078
0.740 0.572 0.922
0.000 0.500 0.500
0.260 0.078 0.428
0.202 0.767 0.767
```

spin magnetization = 0.00 Bohr magnetons per cell
Fermi-level density of states = 1.48 states/eV per atom
energy above the most stable polymorph in this dataset = 0.000 eV per atom
ΔE_f = 18 kJ/mol of atoms
symmetry = C2/m